No. 1
Entry from the Alexandria database: crystalline AcMgAlAg2 at its relaxed geometry (PBE).

Summary:
Crystal system: tetragonal
Energy relative to the elements, eV/atom: -0.27
Fermi-level density of states, states/eV/atom: 0.78

Cell: 4.4270 4.4270 6.8862 Å, 108.75 108.75 90.00°
Positions (direct):
1 Mg 0.2500 0.7500 0.5000
2 Al 0.7500 0.2500 0.5000
3 Ag 0.6165 0.6165 0.2329
4 Ag 0.3835 0.3835 0.7671
5 Ac 0.0000 0.0000 0.0000

=====

No. 2
Entry from the Alexandria database: crystalline AcNd2Al2Ag2 at its relaxed geometry (PBE).

Summary:
Crystal system: trigonal
Energy relative to the elements, eV/atom: -0.29
Fermi-level density of states, states/eV/atom: 0.76

Cell: 4.7757 4.7757 9.9817 Å, 76.16 76.16 60.00°
Positions (direct):
1 Nd 0.1290 0.1290 0.6129
2 Nd 0.8710 0.8710 0.3871
3 Al 0.7455 0.7455 0.7634
4 Al 0.2545 0.2545 0.2366
5 Ag 0.5928 0.5928 0.2217
6 Ag 0.4072 0.4072 0.7783
7 Ac 0.0000 0.0000 0.0000

=====

No. 3
Entry from the Alexandria database: crystalline AcAlAg2O4 at its relaxed geometry (PBE).

Summary:
Crystal system: orthorhombic
Fermi-level density of states, states/eV/atom: 0.04
Formation energy (no corrections), eV/atom: -1.89

Cell: 5.9828 5.3920 5.3920 Å, 74.93 56.30 56.30°
Positions (direct):
1 O 0.9953 0.5040 0.1692
2 O 0.6685 0.4960 0.8308
3 O 0.3315 0.1692 0.5040
4 O 0.0047 0.8308 0.4960
5 Ac 0.0000 0.0000 0.0000
6 Ag 0.5000 0.7218 0.2782
7 Ag 0.5000 0.2782 0.7218
8 Al 0.0000 0.5000 0.5000

=====

No. 4
Entry from the Alexandria database: crystalline Ac3AlAg3O8 at its relaxed geometry (PBE).

Summary:
Crystal system: monoclinic
Fermi-level density of states, states/eV/atom: 0.72
Formation energy (no corrections), eV/atom: -1.94

Cell: 7.5536 7.3494 8.3901 Å, 128.16 90.00 120.92°
Each line ends with the local moment (μB).
Positions (direct):
1 O 0.2338 0.0416 0.6854  0.05
2 O 0.1922 0.9584 0.3146  0.05
3 O 0.8078 0.0416 0.6854  0.05
4 O 0.7911 0.5822 0.3410  0.15
5 O 0.7629 0.5259 0.6987  0.01
6 O 0.2371 0.4741 0.3013  0.01
7 O 0.7662 0.9584 0.3146  0.05
8 O 0.2089 0.4178 0.6590  0.15
9 Ag 0.0000 0.0000 0.0000  0.01
10 Ag 0.5000 0.5000 0.0000  0.09
11 Ag 0.0000 0.5000 0.0000  0.09
12 Ac 0.5000 0.0000 0.5000  0.00
13 Ac 0.5000 0.5000 0.5000  0.01
14 Ac 0.0000 0.5000 0.5000  0.01
15 Al 0.0000 0.0000 0.5000  0.00

=====

No. 5
Entry from the Alexandria database: crystalline AcAlAgPb at its relaxed geometry (PBE).

Summary:
Crystal system: cubic
Energy relative to the elements, eV/atom: -0.13
Fermi-level density of states, states/eV/atom: 0.64

Cell: 5.3546 5.3546 5.3546 Å, 60.00 60.00 60.00°
Positions (direct):
1 Pb 0.5000 0.5000 0.5000
2 Al 0.7500 0.7500 0.7500
3 Ac 0.0000 0.0000 0.0000
4 Ag 0.2500 0.2500 0.2500

=====

No. 6
Entry from the Alexandria database: crystalline Ac2Al4Ag3Pb at its relaxed geometry (PBE).

Summary:
Crystal system: tetragonal
Energy relative to the elements, eV/atom: -0.32
Fermi-level density of states, states/eV/atom: 0.42

Cell: 4.5817 4.5817 11.2792 Å, 90.00 90.00 90.00°
Positions (direct):
1 Al 0.0000 0.5000 0.3507
2 Al 0.5000 0.0000 0.6493
3 Al 0.0000 0.0000 0.0000
4 Al 0.5000 0.5000 0.0000
5 Ag 0.0000 0.0000 0.5000
6 Ag 0.5000 0.0000 0.8775
7 Ag 0.0000 0.5000 0.1225
8 Ac 0.5000 0.0000 0.2404
9 Ac 0.0000 0.5000 0.7596
10 Pb 0.5000 0.5000 0.5000